An optimized crystal structure of Al2Ga3Ag2. Source: Alexandria, functional PBE.

a b c (Å): 4.5657 4.8711 6.5365
angles (deg): 71.32 71.22 86.30
With the nearest neighbours (Å) after each atom.
Space group P-1 (No. 2)
Asymmetric unit:
Al  0.0612  0.1329  0.2508 (multiplicity 2)  6 Ga 2.71-2.97, 2 Ag 2.73-2.74, 1 Al 2.97
Ga  0.0000  0.5000  0.5000 (multiplicity 1)  4 Ag 2.69-2.75, 4 Al 2.73-2.97, 2 Ga 2.81
Ga  0.2930  0.7046  0.0261 (multiplicity 2)  2 Ga 2.68-2.81, 4 Al 2.71-2.92, 2 Ag 2.79-2.95
Ag  0.4661  0.1906  0.6365 (multiplicity 2)  4 Ga 2.69-2.95, 2 Al 2.73-2.74, 2 Ag 2.90-2.95

Computed properties:
As for the density of states at the Fermi level: 2.18 states/eV/f.u. The size of the total moment is 0.00 μB per formula unit. The calculation puts the calculated formation energy at 56 meV/atom. The crystal system is triclinic.

=====

An optimized crystal structure of Al4Ga2Ag5. Source: Alexandria, functional PBE.

a b c (Å): 19.3250 2.9785 7.2800
angles (deg): 90.00 101.61 90.00
With the nearest neighbours (Å) after each atom.
Space group C2/m (No. 12)
Asymmetric unit:
Al  0.0071  0.0000  0.1884 (multiplicity 4)  5 Al 2.70-2.98, 3 Ag 2.74-2.86, 2 Ga 2.81-2.88
Al  0.1309  0.5000  0.3682 (multiplicity 4)  2 Ga 2.78, 6 Ag 2.78-2.88, 4 Al 2.90-2.98
Ga  0.1319  0.0000  0.0469 (multiplicity 4)  2 Ag 2.60-2.71, 4 Al 2.78-2.88
Ag  0.0000  0.5000  0.5000 (multiplicity 2)  6 Al 2.74-2.88, 6 Ag 2.91-2.98
Ag  0.1239  0.0000  0.6859 (multiplicity 4)  1 Ga 2.60, 3 Al 2.78-2.86, 4 Ag 2.88-2.91
Ag  0.2495  0.0000  0.3227 (multiplicity 4)  1 Ga 2.71, 3 Al 2.81-2.88, 6 Ag 2.88-2.98

Computed properties:
The energy above the most stable polymorph in this dataset comes out at 0.000 eV/atom. As for the density of states at the Fermi level: 2.59 states/eV/f.u. The size of the total moment is 0.00 μB per formula unit. The calculation puts the calculated formation energy at 39 meV/atom. The crystal system is monoclinic.